1.
TcSnAs PBE optimized geometry; ΔE to the lowest computed polymorph = 1 kJ/mol of formula units; D(E_F) = 2.52 states/eV per cell
1.0
3.145 0.000 0.000
0.000 3.145 0.000
-1.573 -1.573 5.874
As Sn Tc
1 1 1
Direct
0.294 0.294 0.588
0.021 0.021 0.043
0.685 0.685 0.369

2.
TcSnAs2 PBE optimized geometry; D(E_F) = 8.35 states/eV per cell
1.0
5.975 0.000 0.000
0.000 5.975 0.000
2.987 2.987 5.860
As Sn Tc
4 2 2
Direct
0.569 0.125 0.250
0.875 0.819 0.750
0.181 0.625 0.250
0.375 0.431 0.750
0.750 0.250 0.500
0.000 0.000 0.000
0.500 0.500 0.000
0.250 0.750 0.500

3.
Tc2SnAs2 PBE optimized geometry; ΔE to the lowest computed polymorph = 41 kJ/mol of formula units; D(E_F) = 6.05 states/eV per cell
1.0
-6.198 3.854 -1.442
-2.473 -5.573 -4.264
-1.362 -1.273 2.454
Tc As Sn
4 4 2
Direct
0.144 0.356 0.000
0.856 0.644 0.000
0.644 0.144 0.000
0.356 0.856 0.000
0.860 0.360 0.500
0.140 0.640 0.500
0.360 0.140 0.500
0.640 0.860 0.500
0.500 0.500 0.000
0.000 0.000 0.000

4.
Tc2SnAs PBE optimized geometry; ΔE to the lowest computed polymorph = 22 kJ/mol of formula units; D(E_F) = 3.26 states/eV per cell
1.0
3.112 0.000 0.000
1.556 2.695 0.000
1.556 0.898 7.926
Tc Sn As
2 1 1
Direct
0.256 0.256 0.231
0.077 0.077 0.769
0.500 0.500 0.499
0.667 0.667 0.000

5.
TcSnAs PBE optimized geometry; ΔE to the lowest computed polymorph = 49 kJ/mol of formula units; D(E_F) = 2.21 states/eV per cell
1.0
3.827 0.002 0.007
1.910 3.172 1.043
-0.010 0.571 5.389
Sn As Tc
1 1 1
Direct
0.407 0.136 0.391
0.217 0.516 0.818
0.618 0.715 0.024

6.
TcSnAs PBE optimized geometry; ΔE to the lowest computed polymorph = 0 kJ/mol of formula units; D(E_F) = 8.90 states/eV per cell
1.0
6.491 0.112 0.171
0.167 6.528 -0.064
2.233 2.282 5.864
Tc As Sn
4 4 4
Direct
0.543 0.999 0.176
0.933 0.985 0.813
0.452 0.427 0.947
0.077 0.580 0.060
0.601 0.142 0.761
0.334 0.648 0.254
0.897 0.877 0.213
0.833 0.640 0.791
0.389 0.857 0.653
0.665 0.349 0.268
0.112 0.138 0.337
0.169 0.359 0.727

7.
Tc2SnAs2 PBE optimized geometry; ΔE to the lowest computed polymorph = 52 kJ/mol of formula units; D(E_F) = 2.07 states/eV per cell
1.0
3.843 0.000 0.000
0.000 3.843 0.000
1.921 1.921 6.056
Sn As Tc
1 2 2
Direct
0.000 0.000 0.000
0.750 0.250 0.500
0.250 0.750 0.500
0.383 0.383 0.234
0.617 0.617 0.766

8.
Tc2SnAs PBE optimized geometry; ΔE to the lowest computed polymorph = 31 kJ/mol of formula units; D(E_F) = 2.83 states/eV per cell
1.0
0.000 3.177 3.177
3.177 0.000 3.177
3.177 3.177 0.000
As Tc Sn
1 2 1
Direct
0.000 0.000 0.000
0.250 0.250 0.250
0.750 0.750 0.750
0.500 0.500 0.500

What did we get for DFT formation energy? Answer: 1.3; 207.7; 80.2; 119.8; 165.5; -3.6; 103.0; 141.9 meV/atom, in the order shown.
What did we get for total DFT energy (no corrections)? Answer: -6.338; -5.709; -6.727; -7.226; -6.174; -6.343; -6.704; -7.204 eV per atom, in the order shown.